Computed, not measured: crystalline Mg6VZnO8 at its relaxed geometry at the PBE+U level of DFT.

Computed properties:
Calculated total energy (eV/atom): -6.015
Volume (Å³/atom): 9.887

Unit cell a=4.298 b=4.298 c=8.563 alpha=90.00 beta=90.00 gamma=90.00
Space group P4/mmm (No. 123)
Symmetry-distinct sites (fractional):
1 Mg 0.000 0.000 0.000 [1 per cell]
2 Mg 0.000 0.500 0.249 [4 per cell]
3 Mg 0.500 0.500 0.000 [1 per cell]
4 V 0.000 0.000 0.500 [1 per cell]
5 Zn 0.500 0.500 0.500 [1 per cell]
6 O 0.000 0.000 0.245 [2 per cell]
7 O 0.000 0.500 0.000 [2 per cell]
8 O 0.000 0.500 0.500 [2 per cell]
9 O 0.500 0.500 0.247 [2 per cell]